No. 1
Ca2DyYTe4 | PBE | relaxed

a b c (Å): 7.6031 4.3939 7.7678
angles (deg): 90.00 109.12 90.00
Closest atoms and distances in Å follow each position.
Space group P2/m (No. 10)
Inequivalent atoms, fractional coordinates:
Ca  0.0000  0.0000  0.0000 [1 per cell]  6 Te 3.15
Ca  0.5000  0.5000  0.0000 [1 per cell]  6 Te 3.15
Dy  0.0000  0.5000  0.5000 [1 per cell]  6 Te 3.11
Y  0.5000  0.0000  0.5000 [1 per cell]  6 Te 3.11
Te  0.2481  0.0000  0.7452 [2 per cell]  2 Dy 3.11, 1 Y 3.11, 3 Ca 3.15
Te  0.2509  0.5000  0.2545 [2 per cell]  1 Dy 3.11, 2 Y 3.11, 3 Ca 3.15

Properties
Formation energy (no corrections)   -1460.9 meV per atom
M_tot   0.0000 μB per atom
Final energy   -4.915 eV per atom

No. 2
CaDy2Th | PBE | relaxed

a b c (Å): 5.1415 5.1415 5.0037
angles (deg): 90.00 90.00 90.00
Closest atoms and distances in Å follow each position.
Space group P4/mmm (No. 123)
Inequivalent atoms, fractional coordinates:
Ca  0.0000  0.0000  0.0000 [1 per cell]  8 Dy 3.59, 4 Th 3.64
Dy  0.0000  0.5000  0.5000 [2 per cell]  4 Ca 3.59, 4 Th 3.59, 4 Dy 3.64
Th  0.5000  0.5000  0.0000 [1 per cell]  8 Dy 3.59, 4 Ca 3.64

Properties
Energy of formation   0.17 eV/atom
ΔE to the lowest computed polymorph   130 meV/atom
M_tot   0.0000 μB per atom
Final energy   -4.484 eV per atom

No. 3
CaDy2Th | PBE | relaxed

a b c (Å): 3.5683 3.5683 37.2363
angles (deg): 90.00 90.00 120.00
Closest atoms and distances in Å follow each position.
Space group R-3m (No. 166, hexagonal axes)
Inequivalent atoms, fractional coordinates:
Ca  0.0000  0.0000  0.0000 [3 per cell]  2 Dy 3.42, 6 Ca 3.57
Dy  0.0000  0.0000  0.0919 [6 per cell]  1 Ca 3.42, 3 Th 3.46, 6 Dy 3.57
Th  0.0000  0.0000  0.5000 [3 per cell]  6 Dy 3.46, 6 Th 3.57

Properties
Energy of formation   0.14 eV/atom
ΔE to the lowest computed polymorph   96 meV/atom
M_tot   0.0000 μB per atom
Final energy   -4.518 eV per atom

No. 4
CaDy2Th | PBE | relaxed

a b c (Å): 3.6138 3.6138 35.6753
angles (deg): 90.00 90.00 120.00
Closest atoms and distances in Å follow each position.
Space group R3m (No. 160, hexagonal axes)
Inequivalent atoms, fractional coordinates:
Ca  0.0000  0.0000  0.0000 [3 per cell]  6 Ca 3.61, 6 Dy 3.78-3.82
Dy  0.0000  0.0000  0.5770 [3 per cell]  3 Th 3.48, 6 Dy 3.61, 3 Ca 3.82
Dy  0.0000  0.0000  0.7549 [3 per cell]  3 Th 3.46, 6 Dy 3.61, 3 Ca 3.78
Th  0.0000  0.0000  0.1657 [3 per cell]  6 Dy 3.46-3.48, 6 Th 3.61

Properties
Energy of formation   0.04 eV/atom
ΔE to the lowest computed polymorph   0 meV/atom
M_tot   0.0000 μB per atom
Final energy   -4.615 eV per atom

No. 5
CaDy12Th5 | PBE | relaxed

a b c (Å): 18.5574 10.6754 6.1845
angles (deg): 90.00 109.25 90.00
Closest atoms and distances in Å follow each position.
Space group C2/m (No. 12)
Inequivalent atoms, fractional coordinates:
Ca  0.0000  0.0000  0.0000 [2 per cell]  10 Dy 3.58-3.63, 2 Th 3.68
Dy  0.0000  0.1697  0.5000 [4 per cell]  3 Th 3.53-3.61, 7 Dy 3.55-3.62, 2 Ca 3.58
Dy  0.0000  0.3405  0.0000 [4 per cell]  7 Dy 3.41-3.65, 4 Th 3.52-3.53, 1 Ca 3.63
Dy  0.1666  0.3343  0.5009 [8 per cell]  7 Dy 3.54-3.59, 5 Th 3.54-3.57
Dy  0.1696  0.1674  0.0000 [8 per cell]  7 Dy 3.47-3.65, 4 Th 3.48-3.66, 1 Ca 3.62
Th  0.0000  0.5000  0.5000 [2 per cell]  10 Dy 3.53-3.56, 2 Th 3.58
Th  0.1660  0.5000  0.0007 [4 per cell]  2 Th 3.49-3.58, 10 Dy 3.52-3.57
Th  0.1702  0.0000  0.5170 [4 per cell]  10 Dy 3.48-3.66, 1 Th 3.49, 1 Ca 3.68

Properties
Energy of formation   0.06 eV/atom
M_tot   0.0000 μB per atom
Final energy   -5.178 eV per atom

No. 6
CaDy2Th | PBE | relaxed

a b c (Å): 3.6418 3.6418 10.2702
angles (deg): 90.00 90.00 90.00
Closest atoms and distances in Å follow each position.
Space group P4/mmm (No. 123)
Inequivalent atoms, fractional coordinates:
Ca  0.0000  0.0000  0.0000 [1 per cell]  4 Ca 3.64, 8 Dy 3.81
Dy  0.5000  0.5000  0.2740 [2 per cell]  4 Th 3.47, 4 Dy 3.64, 4 Ca 3.81
Th  0.0000  0.0000  0.5000 [1 per cell]  8 Dy 3.47, 4 Th 3.64

Properties
Energy of formation   0.05 eV/atom
ΔE to the lowest computed polymorph   3 meV/atom
M_tot   0.0000 μB per atom
Final energy   -4.611 eV per atom

No. 7
Ca2DyTl3 | PBE | relaxed

a b c (Å): 3.8486 3.8486 11.5977
angles (deg): 90.00 90.00 90.00
Closest atoms and distances in Å follow each position.
Space group P4/mmm (No. 123)
Inequivalent atoms, fractional coordinates:
Ca  0.0000  0.0000  0.1671 [2 per cell]  8 Tl 3.34-3.37
Dy  0.0000  0.0000  0.5000 [1 per cell]  8 Tl 3.30
Tl  0.5000  0.5000  0.0000 [1 per cell]  8 Ca 3.34
Tl  0.5000  0.5000  0.3390 [2 per cell]  4 Dy 3.30, 4 Ca 3.37

Properties
Energy of formation   -0.40 eV/atom
M_tot   0.0000 μB per atom
Final energy   -3.021 eV per atom

No. 8
Ca2DyTl9 | PBE | relaxed

a b c (Å): 4.8269 4.8269 14.4828
angles (deg): 90.00 90.00 90.00
Closest atoms and distances in Å follow each position.
Space group P4/mmm (No. 123)
Inequivalent atoms, fractional coordinates:
Ca  0.0000  0.0000  0.1705 [2 per cell]  12 Tl 3.41-3.45
Dy  0.0000  0.0000  0.5000 [1 per cell]  12 Tl 3.38-3.41
Tl  0.0000  0.5000  0.0000 [2 per cell]  8 Tl 3.41, 4 Ca 3.45
Tl  0.0000  0.5000  0.3367 [4 per cell]  8 Tl 3.38-3.45, 2 Dy 3.38, 2 Ca 3.41
Tl  0.5000  0.5000  0.1665 [2 per cell]  8 Tl 3.41-3.45, 4 Ca 3.41
Tl  0.5000  0.5000  0.5000 [1 per cell]  8 Tl 3.38, 4 Dy 3.41

Properties
Energy of formation   -0.23 eV/atom
M_tot   0.0000 μB per atom
Final energy   -2.723 eV per atom

No. 9
Ca3Dy4Tl4 | PBE | relaxed

a b c (Å): 4.6377 8.9090 17.2422
angles (deg): 90.00 90.00 90.00
Closest atoms and distances in Å follow each position.
Space group Immm (No. 71)
Inequivalent atoms, fractional coordinates:
Ca  0.0000  0.0000  0.0000 [2 per cell]  4 Tl 3.60
Ca  0.0000  0.5000  0.1139 [4 per cell]  6 Tl 3.48-3.50, 4 Dy 3.68
Dy  0.0000  0.3008  0.3283 [8 per cell]  4 Tl 3.11-3.14
Tl  0.0000  0.0000  0.2339 [4 per cell]  6 Dy 3.11-3.14
Tl  0.0000  0.1911  0.5000 [4 per cell]  2 Dy 3.12, 1 Tl 3.41, 4 Ca 3.48

Properties
Energy of formation   -0.19 eV/atom
M_tot   0.0582 μB per atom
Final energy   -3.273 eV per atom

No. 10
Ca3DyTl12 | PBE | relaxed

a b c (Å): 4.8667 4.8667 19.1156
angles (deg): 90.00 90.00 90.00
Closest atoms and distances in Å follow each position.
Space group P4/mmm (No. 123)
Inequivalent atoms, fractional coordinates:
Ca  0.0000  0.0000  0.0000 [1 per cell]  12 Tl 3.42-3.44
Ca  0.0000  0.0000  0.2536 [2 per cell]  12 Tl 3.40-3.44
Dy  0.0000  0.0000  0.5000 [1 per cell]  12 Tl 3.37-3.44
Tl  0.0000  0.5000  0.1261 [4 per cell]  8 Tl 3.42-3.44, 4 Ca 3.42-3.44
Tl  0.0000  0.5000  0.3778 [4 per cell]  8 Tl 3.37-3.44, 2 Dy 3.37, 2 Ca 3.40
Tl  0.5000  0.5000  0.0000 [1 per cell]  8 Tl 3.42, 4 Ca 3.44
Tl  0.5000  0.5000  0.2515 [2 per cell]  8 Tl 3.42-3.43, 4 Ca 3.44
Tl  0.5000  0.5000  0.5000 [1 per cell]  8 Tl 3.37, 4 Dy 3.44

Properties
Energy of formation   -0.23 eV/atom
M_tot   0.0000 μB per atom
Final energy   -2.666 eV per atom

No. 11
CaDy2Tl9 | PBE | relaxed

a b c (Å): 4.7911 4.7911 14.3976
angles (deg): 90.00 90.00 90.00
Closest atoms and distances in Å follow each position.
Space group P4/mmm (No. 123)
Inequivalent atoms, fractional coordinates:
Ca  0.0000  0.0000  0.0000 [1 per cell]  12 Tl 3.39-3.43
Dy  0.0000  0.0000  0.3389 [2 per cell]  12 Tl 3.33-3.41
Tl  0.0000  0.5000  0.1704 [4 per cell]  8 Tl 3.35-3.43, 2 Dy 3.41, 2 Ca 3.43
Tl  0.0000  0.5000  0.5000 [2 per cell]  4 Dy 3.33, 8 Tl 3.39
Tl  0.5000  0.5000  0.0000 [1 per cell]  4 Ca 3.39, 8 Tl 3.43
Tl  0.5000  0.5000  0.3331 [2 per cell]  8 Tl 3.35-3.39, 4 Dy 3.39

Properties
Energy of formation   -0.23 eV/atom
M_tot   0.0000 μB per atom
Final energy   -2.943 eV per atom